# PBE LaHoCdIr, relaxed
# raw total energy = -5.289 eV per atom
# D(E_F) = 9.428 states/eV per cell
data_LaHoCdIr
_symmetry_space_group_name_H-M 'F -4 3 m'
_symmetry_Int_Tables_number 216
_symmetry_space_group_name_Hall 'F -4 2 3'
_cell_length_a 7.300
_cell_length_b 7.300
_cell_length_c 7.300
_cell_angle_alpha 90.00
_cell_angle_beta 90.00
_cell_angle_gamma 90.00
loop_
_atom_site_label
_atom_site_type_symbol
_atom_site_fract_x
_atom_site_fract_y
_atom_site_fract_z
La1 La 0.000 0.000 0.000
Ho1 Ho 0.000 0.000 0.500
Cd1 Cd 0.250 0.250 0.750
Ir1 Ir 0.250 0.250 0.250